{
  "formula": "CrTc2P",
  "functional": "PBE",
  "state": "optimized geometry",
  "lattice_angstrom": [[-3.952, -1.599, -2.514], [0.600, -0.721, -4.860], [1.486, -1.285, 4.543]],
  "species": ["Cr", "Tc", "Tc", "P"],
  "fractional_positions": [[0.750, 0.250, 0.500], [0.472, 0.472, 0.000], [0.028, 0.028, 0.000], [0.250, 0.750, 0.500]],
  "e_form_ev_per_atom": -0.14,
  "dos_ef_per_ev_atom": 0.790
}